VASP calculation (PBE) on Bi2PbI6 after structural relaxation.

Geometry as extended XYZ:
```
18
Lattice="-7.458 -4.068 -1.644 5.460 -7.986 -5.138 1.617 -6.516 8.656" Properties=species:S:1:pos:R:3 pbc="T T T"
Bi 2.341 -11.386 3.701
Bi 0.068 -4.792 2.365
Bi -2.722 -7.185 -1.828
Bi -0.449 -13.779 -0.492
Pb -0.007 -7.625 7.380
Pb -0.375 -10.945 -5.507
I 0.746 -11.295 1.275
I -4.786 -9.337 -0.475
I -1.127 -7.276 0.598
I 4.405 -9.234 2.349
I -1.103 -13.562 -3.334
I -0.719 -7.919 -3.828
I 0.722 -5.009 5.207
I 0.338 -10.652 5.701
I 5.480 -13.172 4.227
I -2.795 -3.111 0.849
I -5.861 -5.399 -2.354
I 2.414 -15.460 1.024
```

Its space-group type is C2/c.

VASP calculation (PBE) on Dy5CdNi2 after structural relaxation.

Geometry as extended XYZ:
```
16
Lattice="-7.104 -2.324 1.916 2.970 -6.215 3.476 2.491 7.637 2.963" Properties=species:S:1:pos:R:3 pbc="T T T"
Dy 0.185 -0.024 5.626
Dy -2.078 -5.850 5.706
Dy 0.000 0.000 0.000
Dy -2.067 -4.270 2.696
Dy 0.436 4.947 2.649
Dy -2.580 2.666 4.233
Dy 3.201 2.258 4.042
Dy 0.938 -3.568 4.122
Dy -4.843 -3.161 4.313
Dy -1.827 -0.879 2.729
Cd -1.854 -2.586 5.525
Cd 0.212 1.684 2.829
Ni 0.210 -2.615 1.540
Ni -4.075 -2.243 1.640
Ni -0.058 -6.297 3.751
Ni -4.344 -5.924 3.851
```

Its formation energy is -0.30 eV/atom. Its space-group type is I4/mcm.

VASP calculation (PBE) on La2Er8Th after structural relaxation.

Geometry as extended XYZ:
```
11
Lattice="-1.162 -4.453 2.087 1.059 -3.573 -7.033 8.703 1.996 2.988" Properties=species:S:1:pos:R:3 pbc="T T T"
La 4.224 -3.655 0.671
La 4.376 -2.375 -2.629
Er 7.275 -2.153 -0.543
Er 3.287 -5.545 -3.882
Er 6.252 -5.350 -1.815
Er 7.127 -3.396 2.841
Er 2.348 -0.680 -0.143
Er 5.313 -0.485 1.923
Er 1.325 -3.877 -1.415
Er 1.473 -2.634 -4.799
Th -0.581 -2.226 1.044
```

Its formation energy is 0.04 eV/atom. Its space-group type is C2/m.

VASP calculation (PBE) on Pr3NdCo after structural relaxation.

Geometry as extended XYZ:
```
5
Lattice="-1.874 1.597 4.923 -5.175 -0.664 -1.754 0.085 -5.226 1.727" Properties=species:S:1:pos:R:3 pbc="T T T"
Pr -2.587 -0.332 -0.877
Pr 0.042 -2.613 0.864
Pr -0.937 0.798 2.461
Co 0.000 0.000 0.000
Nd -3.482 -2.146 2.448
```

Its formation energy is 0.10 eV/atom. Its space-group type is Pm-3m.

VASP calculation (PBE) on LiZr2NbH after structural relaxation.

Geometry as extended XYZ:
```
5
Lattice="-1.575 3.805 2.155 -3.491 0.285 -3.055 -2.067 -2.083 2.168" Properties=species:S:1:pos:R:3 pbc="T T T"
H 0.000 0.000 0.000
Nb -3.566 1.004 0.634
Zr -1.745 0.143 -1.527
Zr -0.787 1.902 1.077
Li -1.034 -1.042 1.084
```

Its space-group type is P4/mmm.

VASP calculation (PBE) on Dy8InHg2 after structural relaxation.

Geometry as extended XYZ:
```
11
Lattice="-2.252 2.111 3.978 -6.646 -5.029 -1.095 7.560 -3.622 3.016" Properties=species:S:1:pos:R:3 pbc="T T T"
Dy -4.903 -4.206 2.642
Dy 0.646 -4.543 2.776
Dy 0.855 -1.397 1.225
Dy -2.056 -1.556 -0.339
Dy -2.193 -5.144 4.674
Dy -1.984 -1.998 3.123
Dy 3.565 -2.334 3.257
Dy 0.718 -4.985 6.238
In -1.126 1.055 1.989
Hg -2.093 -4.524 1.216
Hg 0.755 -2.017 4.684
```

Its formation energy is -0.19 eV/atom. Its space-group type is Immm.

Respective size of the total moment values: 0.000; 0.000; 0.000; 1.433; 0.000; 0.001 μB/f.u..
Respective final energy values: -46.63; -75.82; -53.37; -25.70; -32.54; -42.21 eV for the cell shown.